Record 1
# CaCeNiN2 PBE-GGA relaxed
# Volume = 17.13 Å³ per atom
# M_tot = 0.00 μB per cell
# Calculated total energy = -6.836 eV/atom
data_CaCeNiN2
_chemical_formula_sum 'Ca2 Ce2 Ni2 N4'
_space_group_name_H-M_alt 'P 1 2/c 1'
_space_group_IT_number 13
_space_group_name_Hall '-P 2yc'
_cell_length_a 4.701
_cell_length_b 5.421
_cell_length_c 6.722
_cell_angle_alpha 90.00
_cell_angle_beta 90.07
_cell_angle_gamma 90.00
loop_
_atom_site_label
_atom_site_type_symbol
_atom_site_fract_x
_atom_site_fract_y
_atom_site_fract_z
Ca1 Ca 0.000 0.001 0.250
Ce1 Ce 0.500 0.500 0.250
Ni1 Ni 0.500 0.000 0.000
N1 N 0.272 0.276 0.000

Record 2
# Pr4GeIr3 PBE-GGA relaxed
# Volume = 24.57 Å³ per atom
# M_tot = 0.00 μB per cell
# Calculated total energy = -6.950 eV/atom
data_Pr4GeIr3
_chemical_formula_sum 'Pr4 Ge1 Ir3'
_space_group_name_H-M_alt 'P m m 2'
_space_group_IT_number 25
_space_group_name_Hall 'P 2 -2'
_cell_length_a 4.221
_cell_length_b 4.297
_cell_length_c 10.839
_cell_angle_alpha 90.00
_cell_angle_beta 90.00
_cell_angle_gamma 90.00
loop_
_atom_site_label
_atom_site_type_symbol
_atom_site_fract_x
_atom_site_fract_y
_atom_site_fract_z
Pr1 Pr 0.000 0.000 0.000
Pr2 Pr 0.000 0.500 0.283
Pr3 Pr 0.500 0.000 0.491
Pr4 Pr 0.500 0.500 0.782
Ge1 Ge 0.000 0.000 0.706
Ir1 Ir 0.000 0.500 0.569
Ir2 Ir 0.500 0.000 0.214
Ir3 Ir 0.500 0.500 0.059

Which value of M_tot does entry 1 give? 0.00 μB per cell

Among the records above, which one has the highest volume? Pr4GeIr3